[1]
A relaxed TbPr2Y6Tm crystal. Source: Alexandria via LeMat-Bulk, functional GGA-PBE.

Cell and atoms, written as POSCAR:
```
TbPr2Y6Tm
1.0
4.547 -7.529 0.000
4.547 7.529 0.000
-1.679 0.000 9.668
Tb Pr Y Tm
2 4 12 2
Direct
0.017 0.983 0.750 Tb
0.983 0.017 0.250 Tb
0.194 0.293 0.544 Pr
0.293 0.194 0.044 Pr
0.707 0.806 0.956 Pr
0.806 0.707 0.456 Pr
0.018 0.575 0.687 Y
0.123 0.744 0.057 Y
0.256 0.877 0.443 Y
0.296 0.505 0.883 Y
0.425 0.982 0.813 Y
0.495 0.704 0.617 Y
0.505 0.296 0.383 Y
0.575 0.018 0.187 Y
0.704 0.495 0.117 Y
0.744 0.123 0.557 Y
0.877 0.256 0.943 Y
0.982 0.425 0.313 Y
0.406 0.594 0.250 Tm
0.594 0.406 0.750 Tm
```

Values from the calculation:
The calculation puts the density of states at the Fermi level at 28.29 states/eV/cell. As for the volume: 662.0 Å³ per cell. As for the crystal system: monoclinic. The raw total energy comes out at -5.6331 eV/atom.

***

[2]
A relaxed TbPr2Y2Tm crystal. Source: Alexandria via LeMat-Bulk, functional GGA-PBE.

Cell and atoms, written as POSCAR:
```
TbPr2Y2Tm
1.0
7.090 0.000 0.000
0.000 5.686 0.000
0.000 0.000 9.847
Tb Pr Y Tm
2 4 4 2
Direct
0.250 0.000 0.181 Tb
0.750 0.000 0.819 Tb
0.250 0.000 0.852 Pr
0.250 0.500 0.316 Pr
0.750 0.000 0.148 Pr
0.750 0.500 0.684 Pr
0.000 0.000 0.500 Y
0.250 0.500 0.655 Y
0.500 0.000 0.500 Y
0.750 0.500 0.345 Y
0.000 0.500 0.000 Tm
0.500 0.500 0.000 Tm
```

Values from the calculation:
The calculation puts the density of states at the Fermi level at 20.33 states/eV/cell. As for the volume: 397.0 Å³ per cell. As for the crystal system: orthorhombic. The raw total energy comes out at -5.2096 eV/atom.

***

[3]
A relaxed Tb2Pr2YTm crystal. Source: Alexandria via LeMat-Bulk, functional GGA-PBE.

Cell and atoms, written as POSCAR:
```
Tb2Pr2YTm
1.0
7.071 0.000 0.000
0.000 5.675 0.000
0.000 0.000 9.865
Tb Pr Y Tm
4 4 2 2
Direct
0.250 0.000 0.164 Tb
0.250 0.500 0.667 Tb
0.750 0.000 0.836 Tb
0.750 0.500 0.333 Tb
0.000 0.500 0.000 Pr
0.250 0.000 0.824 Pr
0.500 0.500 0.000 Pr
0.750 0.000 0.176 Pr
0.000 0.000 0.500 Y
0.500 0.000 0.500 Y
0.250 0.500 0.340 Tm
0.750 0.500 0.660 Tm
```

Values from the calculation:
The calculation puts the density of states at the Fermi level at 18.14 states/eV/cell. As for the volume: 395.8 Å³ per cell. As for the crystal system: orthorhombic. The raw total energy comes out at -4.8970 eV/atom.

***

[4]
A relaxed Tb6Pr2YTm crystal. Source: Alexandria via LeMat-Bulk, functional GGA-PBE.

Cell and atoms, written as POSCAR:
```
Tb6Pr2YTm
1.0
4.527 -7.588 0.000
4.527 7.588 0.000
-1.466 0.000 9.615
Tb Pr Y Tm
12 4 2 2
Direct
0.020 0.575 0.189 Tb
0.127 0.746 0.557 Tb
0.254 0.873 0.943 Tb
0.291 0.501 0.381 Tb
0.425 0.980 0.311 Tb
0.499 0.709 0.119 Tb
0.501 0.291 0.881 Tb
0.575 0.020 0.689 Tb
0.709 0.499 0.619 Tb
0.746 0.127 0.057 Tb
0.873 0.254 0.443 Tb
0.980 0.425 0.811 Tb
0.195 0.301 0.042 Pr
0.301 0.195 0.542 Pr
0.699 0.805 0.458 Pr
0.805 0.699 0.958 Pr
0.018 0.982 0.250 Y
0.982 0.018 0.750 Y
0.407 0.593 0.750 Tm
0.593 0.407 0.250 Tm
```

Values from the calculation:
The calculation puts the density of states at the Fermi level at 27.10 states/eV/cell. As for the volume: 660.5 Å³ per cell. As for the crystal system: monoclinic. The raw total energy comes out at -4.7139 eV/atom.

***

[5]
A relaxed Tb2Pr5YTm crystal. Source: Alexandria via LeMat-Bulk, functional GGA-PBE.

Cell and atoms, written as POSCAR:
```
Tb2Pr5YTm
1.0
2.736 -11.005 0.000
2.736 11.005 0.000
0.000 0.000 10.478
Tb Pr Y Tm
4 10 2 2
Direct
0.115 0.885 0.500 Tb
0.115 0.885 0.994 Tb
0.885 0.115 0.000 Tb
0.885 0.115 0.494 Tb
0.000 0.000 0.247 Pr
0.000 0.000 0.747 Pr
0.279 0.721 0.557 Pr
0.280 0.720 0.939 Pr
0.377 0.623 0.247 Pr
0.500 0.500 0.497 Pr
0.500 0.500 0.997 Pr
0.623 0.377 0.747 Pr
0.720 0.280 0.439 Pr
0.721 0.279 0.057 Pr
0.399 0.601 0.747 Y
0.601 0.399 0.247 Y
0.213 0.787 0.248 Tm
0.787 0.213 0.748 Tm
```

Values from the calculation:
The calculation puts the density of states at the Fermi level at 25.99 states/eV/cell. As for the volume: 631.0 Å³ per cell. As for the crystal system: orthorhombic. The raw total energy comes out at -4.7737 eV/atom.

***

[6]
A relaxed Tb2PrY6Tm crystal. Source: Alexandria via LeMat-Bulk, functional GGA-PBE.

Cell and atoms, written as POSCAR:
```
Tb2PrY6Tm
1.0
4.573 -7.529 0.000
4.573 7.529 0.000
-1.270 0.000 9.529
Tb Pr Y Tm
4 2 12 2
Direct
0.198 0.301 0.452 Tb
0.301 0.198 0.952 Tb
0.699 0.802 0.048 Tb
0.802 0.699 0.548 Tb
0.476 0.524 0.750 Pr
0.524 0.476 0.250 Pr
0.009 0.793 0.884 Y
0.066 0.514 0.684 Y
0.207 0.991 0.616 Y
0.250 0.623 0.057 Y
0.377 0.750 0.443 Y
0.486 0.934 0.816 Y
0.514 0.066 0.184 Y
0.623 0.250 0.557 Y
0.750 0.377 0.943 Y
0.793 0.009 0.384 Y
0.934 0.486 0.316 Y
0.991 0.207 0.116 Y
0.090 0.910 0.250 Tm
0.910 0.090 0.750 Tm
```

Values from the calculation:
The calculation puts the density of states at the Fermi level at 30.22 states/eV/cell. As for the volume: 656.1 Å³ per cell. As for the crystal system: monoclinic. The raw total energy comes out at -5.6134 eV/atom.

***

[7]
A relaxed TbPrY2Tm5 crystal. Source: Alexandria via LeMat-Bulk, functional GGA-PBE.

Cell and atoms, written as POSCAR:
```
TbPrY2Tm5
1.0
2.793 -9.818 0.000
2.793 9.818 0.000
0.000 0.000 10.554
Tb Pr Y Tm
2 2 4 10
Direct
0.202 0.798 0.500 Tb
0.798 0.202 0.000 Tb
0.418 0.582 0.941 Pr
0.582 0.418 0.441 Pr
0.111 0.889 0.222 Y
0.113 0.887 0.808 Y
0.887 0.113 0.308 Y
0.889 0.111 0.722 Y
0.019 0.981 0.515 Tm
0.282 0.718 0.799 Tm
0.298 0.702 0.198 Tm
0.389 0.611 0.510 Tm
0.479 0.521 0.224 Tm
0.521 0.479 0.724 Tm
0.611 0.389 0.010 Tm
0.702 0.298 0.698 Tm
0.718 0.282 0.299 Tm
0.981 0.019 0.015 Tm
```

Values from the calculation:
The calculation puts the density of states at the Fermi level at 28.88 states/eV/cell. As for the volume: 578.9 Å³ per cell. As for the crystal system: orthorhombic. The raw total energy comes out at -4.8043 eV/atom.

***

[8]
A relaxed Tb3Pr6YTm2 crystal. Source: Alexandria via LeMat-Bulk, functional GGA-PBE.

Cell and atoms, written as POSCAR:
```
Tb3Pr6YTm2
1.0
3.154 -5.463 0.000
3.154 5.463 0.000
-2.099 0.000 11.696
Tb Pr Y Tm
3 6 1 2
Direct
0.000 0.000 0.000 Tb
0.333 0.667 0.000 Tb
0.667 0.333 0.000 Tb
0.082 0.417 0.251 Pr
0.249 0.249 0.749 Pr
0.417 0.082 0.251 Pr
0.583 0.918 0.749 Pr
0.751 0.751 0.251 Pr
0.918 0.583 0.749 Pr
0.500 0.500 0.500 Y
0.167 0.833 0.500 Tm
0.833 0.167 0.500 Tm
```

Values from the calculation:
The calculation puts the density of states at the Fermi level at 13.12 states/eV/cell. As for the volume: 403.1 Å³ per cell. As for the crystal system: monoclinic. The raw total energy comes out at -4.8194 eV/atom.

***

Number 1: mass density 5735 kg/m³. Number 2: mass density 6588 kg/m³. Number 3: mass density 7194 kg/m³. Number 4: mass density 7508 kg/m³. Number 5: mass density 6739 kg/m³. Number 6: mass density 5877 kg/m³. Number 7: mass density 7586 kg/m³. Number 8: mass density 7205 kg/m³.